Entry 1:
{"formula": "ZrZnAg", "functional": "meta-GGA SCAN", "state": "single point on PBEsol structure", "formation_energy_mev_per_atom": -161, "final_energy_ev_per_atom": -25.354, "space_group": "I4mm (107)", "lattice": [[-1.521, 1.521, 5.592], [1.521, -1.521, 5.592], [1.521, 1.521, -5.592]], "species": ["Zr", "Zn", "Ag"], "fractional_positions": [[0.000, 0.000, 0.000], [0.669, 0.669, 0.000], [0.312, 0.312, 0.000]]}


Entry 2:
{"formula": "In2AsAu", "functional": "meta-GGA SCAN", "state": "single point on PBEsol structure", "formation_energy_mev_per_atom": -145, "final_energy_ev_per_atom": -39.175, "space_group": "Amm2 (38)", "lattice": [[4.181, 0.000, 0.000], [0.000, 2.738, 4.037], [0.000, -2.738, 4.037]], "species": ["In", "In", "As", "Au"], "fractional_positions": [[0.000, 0.000, 0.000], [0.500, 0.333, 0.333], [0.500, 0.751, 0.751], [0.000, 0.560, 0.560]]}